The following is a PBE-GGA calculation of CdP3Cl after structural relaxation, from Alexandria.

Summary:
- Symmetry: Pm-3m (221)
- Size of the total moment: 0.00 Bohr magnetons per cell
- Electronic total energy: -12.7 eV per cell
- Energy relative to the elements, uncorrected: 1251 meV/atom
- Energy above the most stable polymorph in this dataset: 0.00 eV per formula unit

Unit cell a=4.6700 b=4.6700 c=4.6700 alpha=90.00 beta=90.00 gamma=90.00
Last column: nearest neighbours and their distance in Å.
Fractional coordinates of all 5 atoms:
P (0.5000, 0.0000, 0.0000)  2 Cl 2.34
P (0.0000, 0.0000, 0.5000)  2 Cl 2.34
P (0.0000, 0.5000, 0.0000)  2 Cl 2.34
Cl (0.0000, 0.0000, 0.0000)  6 P 2.34
Cd (0.5000, 0.5000, 0.5000)  12 P 3.30